Na3Np2MnTe6 | PBE | optimized geometry

## Properties
V (Å³ per atom): 31.1
Formation energy without anion corrections (meV/atom): -695.0
E_tot (eV/atom): -5.52

Cell: 7.5762 13.1376 7.9056 Å, 90.00 108.66 90.00°
Space group C2/m (No. 12)
Symmetry-distinct sites (fractional):
Na: 0.0000 0.0000 0.0000 [2 per cell]
Na: 0.0000 0.3292 0.0000 [4 per cell]
Np: 0.0000 0.1662 0.5000 [4 per cell]
Mn: 0.0000 0.5000 0.5000 [2 per cell]
Te: 0.2346 0.3403 0.7257 [8 per cell]
Te: 0.2431 0.5000 0.2739 [4 per cell]